[1]
## Ru2AuCl (GGA-PBEsol)

Data for an optimized crystal structure of Ru2AuCl.

a = 5.894 Å, b = 7.052 Å, c = 2.835 Å
α = 90.00°, β = 90.00°, γ = 90.00°
Space group Cmmm (No. 65)
Asymmetric unit:
Ru 0.250 0.250 0.000 [4 per cell]
Au 0.000 0.000 0.500 [2 per cell]
Cl 0.000 0.500 0.500 [2 per cell]

Computed properties:
E above lowest polymorph in meV/atom: 386
Crystal system: orthorhombic
Energy relative to the elements, uncorrected in eV/atom: 0.8996
E_tot in eV per atom: -5.670
Fermi-level density of states in states/eV/f.u.: 4.3

[2]
## RuAuCl (GGA-PBEsol)

Data for an optimized crystal structure of RuAuCl.

a = 6.081 Å, b = 6.081 Å, c = 6.081 Å
α = 90.00°, β = 90.00°, γ = 90.00°
Space group F-43m (No. 216)
Asymmetric unit:
Ru 0.000 0.000 0.000 [4 per cell]
Au 0.250 0.250 0.750 [4 per cell]
Cl 0.250 0.250 0.250 [4 per cell]

Computed properties:
Crystal system: cubic
Energy relative to the elements, uncorrected in eV/atom: 0.8451
E_tot in eV per atom: -4.523
Fermi-level density of states in states/eV/f.u.: 3.0

[3]
## Ru2AuCl (GGA-PBEsol)

Data for an optimized crystal structure of Ru2AuCl.

a = 2.767 Å, b = 4.858 Å, c = 9.325 Å
α = 90.00°, β = 90.00°, γ = 90.00°
Space group Cmm2 (No. 35)
Asymmetric unit:
Ru 0.000 0.000 0.000 [2 per cell]
Ru 0.000 0.500 0.226 [2 per cell]
Au 0.000 0.000 0.487 [2 per cell]
Cl 0.000 0.500 0.787 [2 per cell]

Computed properties:
E above lowest polymorph in meV/atom: 0
Crystal system: orthorhombic
Energy relative to the elements, uncorrected in eV/atom: 0.5134
E_tot in eV per atom: -6.056
Fermi-level density of states in states/eV/f.u.: 4.3

[4]
## Ru2AuCl (GGA-PBEsol)

Data for an optimized crystal structure of Ru2AuCl.

a = 2.740 Å, b = 4.541 Å, c = 4.907 Å
α = 90.00°, β = 90.00°, γ = 90.00°
Space group Pmmm (No. 47)
Asymmetric unit:
Ru 0.000 0.000 0.000 [1 per cell]
Ru 0.500 0.000 0.500 [1 per cell]
Au 0.000 0.500 0.500 [1 per cell]
Cl 0.500 0.500 0.000 [1 per cell]

Computed properties:
E above lowest polymorph in meV/atom: 416
Crystal system: orthorhombic
Energy relative to the elements, uncorrected in eV/atom: 0.9293
E_tot in eV per atom: -5.640
Fermi-level density of states in states/eV/f.u.: 6.4

[5]
## Ru2AuCl (GGA-PBEsol)

Data for an optimized crystal structure of Ru2AuCl.

a = 2.8366 Å, b = 2.8366 Å, c = 24.7660 Å
α = 90.00°, β = 90.00°, γ = 120.00°
Space group R-3m (No. 166, hexagonal axes)
Asymmetric unit:
Ru 0.0000 0.0000 0.2433 [6 per cell]
Au 0.0000 0.0000 0.0000 [3 per cell]
Cl 0.0000 0.0000 0.5000 [3 per cell]

Computed properties:
E above lowest polymorph in meV/atom: 31
Crystal system: trigonal
Energy relative to the elements, uncorrected in eV/atom: 0.5444
E_tot in eV per atom: -6.025
Fermi-level density of states in states/eV/f.u.: 4.4

[6]
## AuSCl7 (GGA-PBEsol)

Data for an optimized crystal structure of AuSCl7.

a = 8.782 Å, b = 9.888 Å, c = 11.892 Å
α = 90.00°, β = 104.79°, γ = 90.00°
Space group P2_1/c (No. 14)
Asymmetric unit:
Au 0.211 0.101 0.031 [4 per cell]
S 0.224 0.712 0.974 [4 per cell]
Cl 0.056 0.228 0.435 [4 per cell]
Cl 0.085 0.614 0.836 [4 per cell]
Cl 0.121 0.534 0.371 [4 per cell]
Cl 0.288 0.560 0.091 [4 per cell]
Cl 0.308 0.239 0.186 [4 per cell]
Cl 0.363 0.571 0.629 [4 per cell]
Cl 0.421 0.726 0.914 [4 per cell]

Computed properties:
Crystal system: monoclinic
Energy relative to the elements, uncorrected in eV/atom: -0.2599
E_tot in eV per atom: -2.745
Fermi-level density of states in states/eV/f.u.: 0.0

[7]
## AuSCl5 (GGA-PBEsol)

Data for an optimized crystal structure of AuSCl5.

a = 7.921 Å, b = 8.074 Å, c = 12.916 Å
α = 90.00°, β = 115.65°, γ = 90.00°
Space group P2_1/c (No. 14)
Asymmetric unit:
Au 0.086 0.173 0.155 [4 per cell]
S 0.236 0.224 0.038 [4 per cell]
Cl 0.085 0.620 0.243 [4 per cell]
Cl 0.178 0.653 0.517 [4 per cell]
Cl 0.243 0.027 0.544 [4 per cell]
Cl 0.349 0.204 0.321 [4 per cell]
Cl 0.491 0.668 0.376 [4 per cell]

Computed properties:
Crystal system: monoclinic
Energy relative to the elements, uncorrected in eV/atom: -0.2604
E_tot in eV per atom: -2.881
Fermi-level density of states in states/eV/f.u.: 0.0

[8]
## AuSeS2Cl (GGA-PBEsol)

Data for an optimized crystal structure of AuSeS2Cl.

a = 4.788 Å, b = 4.788 Å, c = 4.667 Å
α = 90.00°, β = 90.00°, γ = 90.00°
Space group P4/mmm (No. 123)
Asymmetric unit:
Au 0.000 0.000 0.000 [1 per cell]
Se 0.500 0.500 0.500 [1 per cell]
S 0.000 0.500 0.000 [2 per cell]
Cl 0.000 0.000 0.500 [1 per cell]

Computed properties:
Crystal system: tetragonal
Energy relative to the elements, uncorrected in eV/atom: 0.6858
E_tot in eV per atom: -3.024
Fermi-level density of states in states/eV/f.u.: 3.8

[9]
## SiAuSCl2 (GGA-PBEsol)

Data for an optimized crystal structure of SiAuSCl2.

a = 4.525 Å, b = 4.525 Å, c = 4.669 Å
α = 90.00°, β = 90.00°, γ = 90.00°
Space group P4/mmm (No. 123)
Asymmetric unit:
Si 0.000 0.000 0.000 [1 per cell]
Au 0.500 0.500 0.500 [1 per cell]
S 0.000 0.000 0.500 [1 per cell]
Cl 0.000 0.500 0.000 [2 per cell]

Computed properties:
Crystal system: tetragonal
Energy relative to the elements, uncorrected in eV/atom: 0.1095
E_tot in eV per atom: -3.505
Fermi-level density of states in states/eV/f.u.: 1.2

[10]
## Sb2AuCl (GGA-PBEsol)

Data for an optimized crystal structure of Sb2AuCl.

a = 7.148 Å, b = 4.337 Å, c = 6.978 Å
α = 90.00°, β = 103.01°, γ = 90.00°
Space group C2/m (No. 12)
Asymmetric unit:
Sb 0.185 0.000 0.185 [4 per cell]
Au 0.000 0.500 0.000 [2 per cell]
Cl 0.000 0.000 0.500 [2 per cell]

Computed properties:
Crystal system: monoclinic
Energy relative to the elements, uncorrected in eV/atom: -0.2394
E_tot in eV per atom: -4.001
Fermi-level density of states in states/eV/f.u.: 1.5

[11]
## SbAu2Cl (GGA-PBEsol)

Data for an optimized crystal structure of SbAu2Cl.

a = 6.836 Å, b = 6.836 Å, c = 6.836 Å
α = 90.00°, β = 90.00°, γ = 90.00°
Space group Fm-3m (No. 225)
Asymmetric unit:
Sb 0.000 0.000 0.000 [4 per cell]
Au 0.250 0.250 0.250 [8 per cell]
Cl 0.000 0.000 0.500 [4 per cell]

Computed properties:
E above lowest polymorph in meV/atom: 178
Crystal system: cubic
Energy relative to the elements, uncorrected in eV/atom: 0.2801
E_tot in eV per atom: -3.323
Fermi-level density of states in states/eV/f.u.: 1.1

[12]
## SbAu3Cl (GGA-PBEsol)

Data for an optimized crystal structure of SbAu3Cl.

a = 5.114 Å, b = 5.114 Å, c = 5.114 Å
α = 90.00°, β = 90.00°, γ = 90.00°
Space group Pm-3m (No. 221)
Asymmetric unit:
Sb 0.000 0.000 0.000 [1 per cell]
Au 0.000 0.000 0.500 [3 per cell]
Cl 0.500 0.500 0.500 [1 per cell]

Computed properties:
Crystal system: cubic
Energy relative to the elements, uncorrected in eV/atom: 0.5715
E_tot in eV per atom: -3.096
Fermi-level density of states in states/eV/f.u.: 7.6

no.,size of the total moment (μB/f.u.)
1,0.00
2,2.05
3,0.97
4,0.69
5,0.00
6,0.00
7,0.00
8,0.00
9,0.00
10,0.00
11,0.00
12,0.01